Record 1
Compound: Ca2Mg2InAg5
Source: Alexandria
Functional: PBE
Structure: relaxed

Computed properties:
For the total magnetic moment, the calculation gives 0.000 μB/atom. As for the space group: P4/mbm, No. 127. The value obtained for the total energy is -0.1891 Ry/atom. The formation energy from the elements is -0.154 eV/atom. Its crystal system is tetragonal.

```
20
Lattice="10.6444 0.0000 0.0000 0.0000 10.6444 0.0000 0.0000 0.0000 3.9566" Properties=species:S:1:pos:R:3 pbc="T T T"
Ca 1.8945 3.4277 0.0000
Ca 3.4277 8.7500 0.0000
Ca 7.2167 1.8945 0.0000
Ca 8.7500 7.2167 0.0000
Mg 1.2665 6.5888 0.0000
Mg 4.0557 1.2665 0.0000
Mg 6.5888 9.3779 0.0000
Mg 9.3779 4.0557 0.0000
In 0.0000 0.0000 0.0000
In 5.3222 5.3222 0.0000
Ag 0.0000 5.3222 1.9783
Ag 0.5960 8.5055 1.9783
Ag 2.1389 0.5960 1.9783
Ag 3.1833 5.9183 1.9783
Ag 4.7262 3.1833 1.9783
Ag 5.3222 0.0000 1.9783
Ag 5.9183 7.4611 1.9783
Ag 7.4611 4.7262 1.9783
Ag 8.5055 10.0484 1.9783
Ag 10.0484 2.1389 1.9783
```

=====

Record 2
Compound: PmZn6Pd12
Source: Alexandria
Functional: PBE
Structure: relaxed

Computed properties:
For the total magnetic moment, the calculation gives 0.000 μB/atom. As for the space group: R-3m, No. 166. The value obtained for the total energy is -0.3160 Ry/atom. The formation energy from the elements is -0.367 eV/atom. Its crystal system is trigonal.

```
19
Lattice="5.7779 3.3359 2.7726 -5.7779 3.3359 2.7726 0.0000 -6.6717 2.7726" Properties=species:S:1:pos:R:3 pbc="T T T"
Pm 0.0000 0.0000 0.0000
Zn 0.0000 -2.8415 3.5092
Zn -2.4608 1.4207 3.5092
Zn -2.4608 -1.4207 4.8087
Zn 2.4608 1.4207 3.5092
Zn 2.4608 -1.4207 4.8087
Zn 0.0000 2.8415 4.8087
Pd -2.2052 -3.8194 4.1589
Pd -4.4103 0.0000 4.1589
Pd -1.4155 -0.8172 2.5592
Pd 1.4155 -0.8172 2.5592
Pd 0.0000 1.6345 2.5592
Pd 2.2052 -3.8194 4.1589
Pd -2.2052 3.8194 4.1589
Pd 0.0000 -1.6345 5.7587
Pd -1.4155 0.8172 5.7587
Pd 1.4155 0.8172 5.7587
Pd 4.4103 0.0000 4.1589
Pd 2.2052 3.8194 4.1589
```

=====

Record 3
Compound: TmMg2Sn3
Source: Alexandria
Functional: PBE
Structure: relaxed

Computed properties:
For the total magnetic moment, the calculation gives 0.000 μB/atom. As for the space group: Cmmm, No. 65. The value obtained for the total energy is -0.2656 Ry/atom. The formation energy from the elements is -0.335 eV/atom. Its crystal system is orthorhombic.

```
6
Lattice="2.3319 -7.2026 0.0000 2.3319 7.2026 0.0000 0.0000 0.0000 4.3300" Properties=species:S:1:pos:R:3 pbc="T T T"
Tm 0.0000 0.0000 0.0000
Mg 2.3319 2.4374 0.0000
Mg 2.3319 -2.4374 0.0000
Sn 2.3319 4.7821 2.1650
Sn 2.3319 0.0000 2.1650
Sn 2.3319 -4.7821 2.1650
```

=====

Record 4
Compound: Pm2HoCu4
Source: Alexandria
Functional: PBE
Structure: relaxed

Computed properties:
For the total magnetic moment, the calculation gives 0.000 μB/atom. As for the space group: I4/mmm, No. 139. The value obtained for the total energy is -0.3197 Ry/atom. The formation energy from the elements is 0.002 eV/atom. Its crystal system is tetragonal.

```
7
Lattice="-2.5735 2.5735 5.8932 2.5735 -2.5735 5.8932 2.5735 2.5735 -5.8932" Properties=species:S:1:pos:R:3 pbc="T T T"
Pm 0.0000 0.0000 2.4555
Pm 0.0000 0.0000 9.3308
Ho 0.0000 0.0000 5.8932
Cu 2.5735 0.0000 1.2905
Cu 2.5735 0.0000 4.6026
Cu 0.0000 2.5735 1.2905
Cu 0.0000 2.5735 4.6026
```

=====

Record 5
Compound: ZrTaSn2Pt
Source: Alexandria
Functional: PBE
Structure: relaxed

Computed properties:
For the total magnetic moment, the calculation gives 0.000 μB/atom. As for the space group: P4/mmm, No. 123. The value obtained for the total energy is -0.4121 Ry/atom. The formation energy from the elements is 1.282 eV/atom. Its crystal system is tetragonal.

```
5
Lattice="5.3449 0.0000 0.0000 0.0000 5.3449 0.0000 0.0000 0.0000 4.8847" Properties=species:S:1:pos:R:3 pbc="T T T"
Zr 0.0000 0.0000 0.0000
Ta 2.6725 2.6725 2.4423
Sn 0.0000 2.6725 0.0000
Sn 2.6725 0.0000 0.0000
Pt 0.0000 0.0000 2.4423
```

=====

Record 6
Compound: RbSr2Pd2
Source: Alexandria
Functional: PBE
Structure: relaxed

Computed properties:
For the total magnetic moment, the calculation gives 0.000 μB/atom. As for the space group: I4/mmm, No. 139. The value obtained for the total energy is -0.2289 Ry/atom. The formation energy from the elements is -0.171 eV/atom. Its crystal system is tetragonal.

```
5
Lattice="-2.8296 2.8296 6.2837 2.8296 -2.8296 6.2837 2.8296 2.8296 -6.2837" Properties=species:S:1:pos:R:3 pbc="T T T"
Rb 0.0000 0.0000 0.0000
Sr 0.0000 0.0000 4.0767
Sr 0.0000 0.0000 8.4907
Pd 2.8296 0.0000 3.1419
Pd 0.0000 2.8296 3.1419
```

=====

Question: Which formula does entry 3 have?
Answer: TmMg2Sn3

=====

Repeat the fifth record exactly.
Compound: ZrTaSn2Pt
Source: Alexandria
Functional: PBE
Structure: relaxed

Computed properties:
For the total magnetic moment, the calculation gives 0.000 μB/atom. As for the space group: P4/mmm, No. 123. The value obtained for the total energy is -0.4121 Ry/atom. The formation energy from the elements is 1.282 eV/atom. Its crystal system is tetragonal.

```
5
Lattice="5.3449 0.0000 0.0000 0.0000 5.3449 0.0000 0.0000 0.0000 4.8847" Properties=species:S:1:pos:R:3 pbc="T T T"
Zr 0.0000 0.0000 0.0000
Ta 2.6725 2.6725 2.4423
Sn 0.0000 2.6725 0.0000
Sn 2.6725 0.0000 0.0000
Pt 0.0000 0.0000 2.4423
```